Entry 1:
! Er4InHg (PBE-GGA, relaxed); values from VASP
&SYSTEM
  ibrav = 0, nat = 6, ntyp = 3
/
ATOMIC_SPECIES
Er 167.26 Er.upf
In 114.82 In.upf
Hg 200.59 Hg.upf
CELL_PARAMETERS angstrom
5.077 0.000 0.000
0.000 5.077 0.000
0.000 0.000 7.255
ATOMIC_POSITIONS crystal
Er 0.000 0.500 0.242
Er 0.000 0.500 0.758
Er 0.500 0.000 0.242
Er 0.500 0.000 0.758
In 0.000 0.000 0.500
Hg 0.500 0.500 0.000
! Mass density = 8.7 g/cm³
! N(E_F) = 0.95 states/eV per atom
! DFT total energy = -21.9 eV for the cell shown
! Energy of formation from the pure elements = -0.10 eV per atom

=====

Entry 2:
! ErIn2Hg6 (PBE-GGA, relaxed); values from VASP
&SYSTEM
  ibrav = 0, nat = 9, ntyp = 3
/
ATOMIC_SPECIES
Er 167.26 Er.upf
In 114.82 In.upf
Hg 200.59 Hg.upf
CELL_PARAMETERS angstrom
3.229 -7.817 0.000
3.229 7.817 0.000
-1.813 0.000 4.502
ATOMIC_POSITIONS crystal
Er 0.000 0.000 0.000
In 0.164 0.836 0.500
In 0.836 0.164 0.500
Hg 0.163 0.486 0.167
Hg 0.339 0.339 0.671
Hg 0.486 0.163 0.167
Hg 0.514 0.837 0.833
Hg 0.661 0.661 0.329
Hg 0.837 0.514 0.833
! Mass density = 11.7 g/cm³
! N(E_F) = 0.45 states/eV per atom
! DFT total energy = -12.9 eV for the cell shown
! Energy of formation from the pure elements = -0.12 eV per atom

=====

Entry 3:
! ErIn2Hg3 (PBE-GGA, relaxed); values from VASP
&SYSTEM
  ibrav = 0, nat = 12, ntyp = 3
/
ATOMIC_SPECIES
Er 167.26 Er.upf
In 114.82 In.upf
Hg 200.59 Hg.upf
CELL_PARAMETERS angstrom
4.767 0.000 0.000
0.000 14.872 0.000
0.000 0.000 4.193
ATOMIC_POSITIONS crystal
Er 0.000 0.000 0.000
Er 0.500 0.500 0.000
In 0.000 0.329 0.000
In 0.000 0.671 0.000
In 0.500 0.171 0.000
In 0.500 0.829 0.000
Hg 0.000 0.162 0.500
Hg 0.000 0.500 0.500
Hg 0.000 0.838 0.500
Hg 0.500 0.000 0.500
Hg 0.500 0.338 0.500
Hg 0.500 0.662 0.500
! Mass density = 11.2 g/cm³
! N(E_F) = 0.37 states/eV per atom
! DFT total energy = -24.3 eV for the cell shown
! Energy of formation from the pure elements = -0.20 eV per atom

=====

Entry 4:
! Er2InHg6 (PBE-GGA, relaxed); values from VASP
&SYSTEM
  ibrav = 0, nat = 9, ntyp = 3
/
ATOMIC_SPECIES
Er 167.26 Er.upf
In 114.82 In.upf
Hg 200.59 Hg.upf
CELL_PARAMETERS angstrom
5.151 0.000 0.000
-2.576 4.461 0.000
0.000 0.000 9.417
ATOMIC_POSITIONS crystal
Er 0.333 0.667 0.220
Er 0.667 0.333 0.780
In 0.000 0.000 0.000
Hg 0.000 0.000 0.335
Hg 0.000 0.000 0.665
Hg 0.333 0.667 0.559
Hg 0.333 0.667 0.887
Hg 0.667 0.333 0.113
Hg 0.667 0.333 0.441
! Mass density = 12.7 g/cm³
! N(E_F) = 0.53 states/eV per atom
! DFT total energy = -15.9 eV for the cell shown
! Energy of formation from the pure elements = -0.24 eV per atom

=====

Entry 5:
! ErIn12Hg6 (PBE-GGA, relaxed); values from VASP
&SYSTEM
  ibrav = 0, nat = 19, ntyp = 3
/
ATOMIC_SPECIES
Er 167.26 Er.upf
In 114.82 In.upf
Hg 200.59 Hg.upf
CELL_PARAMETERS angstrom
5.655 3.265 4.658
-5.655 3.265 4.658
0.000 -6.530 4.658
ATOMIC_POSITIONS crystal
Er 0.000 0.000 0.000
In 0.018 0.719 0.718
In 0.219 0.541 0.451
In 0.281 0.282 0.982
In 0.282 0.982 0.281
In 0.451 0.219 0.541
In 0.459 0.549 0.781
In 0.541 0.451 0.219
In 0.549 0.781 0.459
In 0.718 0.018 0.719
In 0.719 0.718 0.018
In 0.781 0.459 0.549
In 0.982 0.281 0.282
Hg 0.088 0.144 0.638
Hg 0.144 0.638 0.088
Hg 0.362 0.912 0.856
Hg 0.638 0.088 0.144
Hg 0.856 0.362 0.912
Hg 0.912 0.856 0.362
! Mass density = 8.8 g/cm³
! N(E_F) = 0.46 states/eV per atom
! DFT total energy = -39.8 eV for the cell shown
! Energy of formation from the pure elements = -0.03 eV per atom

=====

Entry 6:
! Er3In2Hg (PBE-GGA, relaxed); values from VASP
&SYSTEM
  ibrav = 0, nat = 6, ntyp = 3
/
ATOMIC_SPECIES
Er 167.26 Er.upf
In 114.82 In.upf
Hg 200.59 Hg.upf
CELL_PARAMETERS angstrom
3.599 0.000 0.000
0.000 3.599 0.000
0.000 0.000 11.910
ATOMIC_POSITIONS crystal
Er 0.000 0.000 0.000
Er 0.000 0.000 0.340
Er 0.000 0.000 0.660
In 0.500 0.500 0.170
In 0.500 0.500 0.830
Hg 0.500 0.500 0.500
! Mass density = 10.0 g/cm³
! N(E_F) = 0.87 states/eV per atom
! DFT total energy = -22.2 eV for the cell shown
! Energy of formation from the pure elements = -0.45 eV per atom